(1)
VASP calculation (PBE) on a relaxed Ba2In4AgHg3 crystal.

```
10
Lattice="4.919 0.000 0.000 0.000 4.919 0.000 0.000 0.000 12.203" Properties=species:S:1:pos:R:3 pbc="T T T"
Ba 0.000 2.459 2.964
Ba 2.459 0.000 9.239
In 0.000 0.000 6.101
In 0.000 2.459 10.707
In 2.459 0.000 1.495
In 2.459 2.459 6.101
Ag 2.459 2.459 0.000
Hg 0.000 0.000 0.000
Hg 0.000 2.459 7.830
Hg 2.459 0.000 4.373
```

Output
**Total magnetic moment**: 0.000 μB per formula unit
**E**: -2.20 eV per atom
**SG**: P-4m2 (115)
**Density of states at the Fermi level**: 5.71 states/eV/f.u.
**Energy of formation**: -0.345 eV/atom

(2)
VASP calculation (PBE) on a relaxed RbMg3Sc crystal.

```
5
Lattice="5.927 0.000 0.000 0.000 5.927 0.000 0.000 0.000 5.927" Properties=species:S:1:pos:R:3 pbc="T T T"
Rb 0.000 0.000 0.000
Mg 0.000 2.963 2.963
Mg 2.963 0.000 2.963
Mg 2.963 2.963 0.000
Sc 2.963 2.963 2.963
```

Output
**Total magnetic moment**: 0.000 μB per formula unit
**E**: -1.81 eV per atom
**SG**: Pm-3m (221)
**Density of states at the Fermi level**: 7.78 states/eV/f.u.
**Energy of formation**: 0.605 eV/atom

(3)
VASP calculation (PBE) on a relaxed KMnTe2Pd crystal.

```
5
Lattice="5.070 0.000 0.000 0.000 5.070 0.000 0.000 0.000 4.991" Properties=species:S:1:pos:R:3 pbc="T T T"
K 0.000 0.000 0.000
Mn 2.535 2.535 2.496
Te 0.000 2.535 2.496
Te 2.535 0.000 2.496
Pd 2.535 2.535 0.000
```

Output
**Total magnetic moment**: 0.000 μB per formula unit
**E_form (uncorrected)**: 0.8 eV/f.u.
**E**: -4.18 eV per atom
**SG**: P4/mmm (123)
**Density of states at the Fermi level**: 9.39 states/eV/f.u.

(4)
VASP calculation (PBE) on a relaxed TbTh2Ni crystal.

```
4
Lattice="3.560 0.000 0.000 0.000 3.560 0.000 0.000 0.000 8.494" Properties=species:S:1:pos:R:3 pbc="T T T"
Tb 0.000 0.000 0.000
Th 1.780 1.780 2.605
Th 1.780 1.780 5.888
Ni 0.000 0.000 4.247
```

Output
**Total magnetic moment**: 0.000 μB per formula unit
**E**: -6.41 eV per atom
**SG**: P4/mmm (123)
**Density of states at the Fermi level**: 6.80 states/eV/f.u.
**Energy of formation**: -0.092 eV/atom

(5)
VASP calculation (PBE) on a relaxed Al2Ni2Pt crystal.

```
10
Lattice="6.871 0.000 0.000 0.000 6.871 0.000 0.000 0.000 2.745" Properties=species:S:1:pos:R:3 pbc="T T T"
Al 1.182 2.253 0.000
Al 2.253 5.689 0.000
Al 4.617 1.182 0.000
Al 5.689 4.617 0.000
Ni 0.863 4.298 1.372
Ni 2.572 0.863 1.372
Ni 4.298 6.008 1.372
Ni 6.008 2.572 1.372
Pt 0.000 0.000 1.372
Pt 3.435 3.435 1.372
```

Output
**Total magnetic moment**: 0.000 μB per formula unit
**E**: -5.63 eV per atom
**SG**: P4/mbm (127)
**Density of states at the Fermi level**: 1.95 states/eV/f.u.
**Energy of formation**: -0.615 eV/atom

(6)
VASP calculation (PBE) on a relaxed MgOs crystal.

```
4
Lattice="3.941 0.000 0.000 -1.970 3.413 0.000 0.000 0.000 5.452" Properties=species:S:1:pos:R:3 pbc="T T T"
Mg 0.000 0.000 0.000
Mg 0.000 0.000 2.726
Os 0.000 2.275 1.363
Os 1.970 1.138 4.089
```

Output
**Total magnetic moment**: 1.664 μB per formula unit
**E**: -4.87 eV per atom
**SG**: P6_3/mmc (194)
**Density of states at the Fermi level**: 1.33 states/eV/f.u.
**Energy of formation**: 1.545 eV/atom

(7)
VASP calculation (PBE) on a relaxed AgRuF6 crystal.

```
16
Lattice="5.383 0.000 0.000 -2.692 4.662 0.000 0.000 0.000 10.198" Properties=species:S:1:pos:R:3 pbc="T T T"
Ag 0.000 3.108 2.550
Ag 2.692 1.554 7.649
Ru 0.000 0.000 0.000
Ru 0.000 0.000 5.099
F -0.767 1.353 6.209
F -1.904 3.321 9.088
F 0.767 1.353 9.088
F -1.136 4.650 6.209
F 1.555 0.012 1.110
F 0.788 1.341 3.989
F 1.904 3.321 6.209
F 1.136 4.650 9.088
F 3.828 0.012 3.989
F 1.924 3.309 1.110
F 4.596 1.341 1.110
F 3.459 3.309 3.989
```

Output
**Total magnetic moment**: 3.037 μB per formula unit
**E_form (uncorrected)**: -12.9 eV/f.u.
**E**: -4.53 eV per atom
**SG**: P-31c (163)

(8)
VASP calculation (PBE) on a relaxed SmGePd crystal.

```
36
Lattice="21.583 0.000 0.000 0.000 4.472 0.000 0.000 0.000 7.667" Properties=species:S:1:pos:R:3 pbc="T T T"
Sm 0.024 1.118 1.639
Sm 3.581 1.118 2.250
Sm 3.603 3.354 5.449
Sm 7.188 1.118 1.615
Sm 7.210 3.354 6.083
Sm 10.767 3.354 5.473
Sm 10.816 1.118 2.194
Sm 14.373 1.118 1.584
Sm 14.394 3.354 6.051
Sm 17.980 1.118 2.218
Sm 18.001 3.354 5.417
Sm 21.558 3.354 6.027
Ge 1.559 1.118 4.540
Ge 2.220 3.354 0.691
Ge 4.991 3.354 0.677
Ge 5.800 1.118 4.511
Ge 8.571 1.118 4.524
Ge 9.233 3.354 0.707
Ge 12.350 1.118 6.960
Ge 13.012 3.354 3.143
Ge 15.782 3.354 3.156
Ge 16.592 1.118 6.989
Ge 19.363 1.118 6.976
Ge 20.024 3.354 3.126
Pd 1.354 3.354 3.207
Pd 2.027 1.118 7.073
Pd 5.114 1.118 7.051
Pd 5.677 3.354 3.218
Pd 8.764 3.354 3.240
Pd 9.437 1.118 7.041
Pd 12.146 3.354 0.626
Pd 12.819 1.118 4.426
Pd 15.905 1.118 4.448
Pd 16.469 3.354 0.615
Pd 19.556 3.354 0.593
Pd 20.228 1.118 4.459
```

Output
**Total magnetic moment**: 0.000 μB per formula unit
**E**: -5.81 eV per atom
**SG**: Pnma (62)
**Density of states at the Fermi level**: 0.99 states/eV/f.u.
**Energy of formation**: -0.967 eV/atom

(9)
VASP calculation (PBE) on a relaxed Pm3Dy2Er8 crystal.

```
13
Lattice="10.017 -3.831 0.000 10.017 3.831 0.000 -0.005 0.000 5.593" Properties=species:S:1:pos:R:3 pbc="T T T"
Pm 0.000 0.000 0.000
Pm 10.014 1.596 2.796
Pm 10.014 -1.596 2.796
Dy 4.824 0.000 5.585
Dy 15.204 0.000 0.008
Er 2.691 0.000 2.794
Er 7.820 1.605 5.590
Er 6.599 0.000 2.790
Er 12.209 1.605 0.003
Er 7.820 -1.605 5.590
Er 13.429 0.000 2.803
Er 12.209 -1.605 0.003
Er 17.337 0.000 2.799
```

Output
**Total magnetic moment**: 0.000 μB per formula unit
**E**: -4.36 eV per atom
**SG**: C2/m (12)
**Density of states at the Fermi level**: 22.63 states/eV/f.u.
**Energy of formation**: 0.252 eV/atom

(10)
VASP calculation (PBE) on a relaxed SrTa3P crystal.

```
5
Lattice="4.795 0.000 0.000 0.000 4.795 0.000 0.000 0.000 4.795" Properties=species:S:1:pos:R:3 pbc="T T T"
Sr 0.000 0.000 0.000
Ta 0.000 2.398 2.398
Ta 2.398 0.000 2.398
Ta 2.398 2.398 0.000
P 2.398 2.398 2.398
```

Output
**Total magnetic moment**: 0.000 μB per formula unit
**E**: -8.02 eV per atom
**SG**: Pm-3m (221)
**Density of states at the Fermi level**: 10.11 states/eV/f.u.
**Energy of formation**: 0.512 eV/atom

(11)
VASP calculation (PBE) on a relaxed V2Sb crystal.

```
6
Lattice="0.000 3.659 3.659 3.659 0.000 3.659 3.659 3.659 0.000" Properties=species:S:1:pos:R:3 pbc="T T T"
V 0.000 0.000 0.000
V 1.829 1.829 0.000
V 1.829 0.000 1.829
V 0.000 1.829 1.829
Sb 2.744 2.744 2.744
Sb 4.573 4.573 4.573
```

Output
**Total magnetic moment**: 0.000 μB per formula unit
**E_form (uncorrected)**: 0.5 eV/f.u.
**E**: -7.29 eV per atom
**SG**: Fd-3m (227)
**Density of states at the Fermi level**: 3.33 states/eV/f.u.

(12)
VASP calculation (PBE) on a relaxed Cs2CaTbBr6 crystal.

```
20
Lattice="8.123 0.000 0.000 0.000 11.493 0.000 0.000 0.000 8.122" Properties=species:S:1:pos:R:3 pbc="T T T"
Cs 2.031 11.492 2.030
Cs 2.031 5.748 2.030
Cs 6.092 0.001 6.093
Cs 6.092 5.745 6.093
Ca 2.031 2.873 6.083
Ca 6.092 8.620 2.039
Tb 2.031 8.620 6.101
Tb 6.092 2.873 2.022
Br 0.009 8.620 4.084
Br 0.014 8.620 8.122
Br 2.031 5.763 6.092
Br 2.031 11.476 6.092
Br 4.047 8.620 8.122
Br 4.053 8.620 4.084
Br 4.070 2.873 4.038
Br 4.075 2.873 0.000
Br 6.092 0.017 2.030
Br 6.092 5.730 2.030
Br 8.109 2.873 0.000
Br 8.114 2.873 4.038
```

Output
**Total magnetic moment**: 0.842 μB per formula unit
**E_form (uncorrected)**: -17.7 eV/f.u.
**E**: -3.61 eV per atom
**SG**: Pmmn (59)
**Density of states at the Fermi level**: 4.38 states/eV/f.u.

(13)
VASP calculation (PBE) on a relaxed LaNd12Al4N3 crystal.

```
20
Lattice="-5.106 5.106 5.106 5.106 -5.106 5.106 5.106 5.106 -5.106" Properties=species:S:1:pos:R:3 pbc="T T T"
La 0.000 0.000 0.000
Nd 2.802 0.000 0.000
Nd 7.410 0.000 0.000
Nd 5.106 2.553 0.000
Nd 5.106 0.000 2.553
Nd 0.000 2.802 0.000
Nd 0.000 0.000 2.802
Nd 2.553 5.106 0.000
Nd 2.553 0.000 5.106
Nd 0.000 7.410 0.000
Nd 0.000 0.000 7.410
Nd 0.000 5.106 2.553
Nd 0.000 2.553 5.106
Al 2.553 2.553 -2.553
Al 2.553 -2.553 2.553
Al -2.553 2.553 2.553
Al 2.553 2.553 2.553
N 5.106 0.000 0.000
N 0.000 5.106 0.000
N 0.000 0.000 5.106
```

Output
**Total magnetic moment**: 0.000 μB per formula unit
**E_form (uncorrected)**: -7.0 eV/f.u.
**E**: -5.46 eV per atom
**SG**: Im-3m (229)
**Density of states at the Fermi level**: 14.09 states/eV/f.u.

(14)
VASP calculation (PBE) on a relaxed CeDyY5Ho2 crystal.

```
18
Lattice="2.856 -10.767 0.000 2.856 10.767 0.000 0.000 0.000 9.572" Properties=species:S:1:pos:R:3 pbc="T T T"
Ce 2.856 6.693 4.786
Ce 2.856 -6.693 0.000
Dy 2.856 2.098 8.677
Dy 2.856 -2.098 3.891
Y 2.856 10.481 4.706
Y 2.856 5.026 7.784
Y 2.856 4.193 1.825
Y 2.856 2.352 5.012
Y 2.856 0.611 2.172
Y 2.856 -0.611 6.958
Y 2.856 -2.352 0.226
Y 2.856 -4.193 6.611
Y 2.856 -5.026 2.998
Y 2.856 -10.481 9.492
Ho 2.856 8.319 7.666
Ho 2.856 7.922 1.808
Ho 2.856 -7.922 6.594
Ho 2.856 -8.319 2.880
```

Output
**Total magnetic moment**: 0.621 μB per formula unit
**E**: -5.61 eV per atom
**SG**: Cmc2_1 (36)
**Density of states at the Fermi level**: 16.44 states/eV/f.u.
**Energy of formation**: 0.171 eV/atom

(15)
VASP calculation (PBE) on a relaxed Lu2AgGe crystal.

```
4
Lattice="4.907 0.000 0.000 0.000 4.907 0.000 0.000 0.000 3.641" Properties=species:S:1:pos:R:3 pbc="T T T"
Lu 0.000 2.454 0.000
Lu 2.454 0.000 0.000
Ag 0.000 0.000 1.820
Ge 2.454 2.454 1.820
```

Output
**Total magnetic moment**: 0.000 μB per formula unit
**E**: -4.63 eV per atom
**SG**: P4/mmm (123)
**Density of states at the Fermi level**: 3.03 states/eV/f.u.
**Energy of formation**: -0.504 eV/atom

(16)
VASP calculation (PBE) on a relaxed Pm6Si2Pb3 crystal.

```
11
Lattice="-2.730 2.730 12.568 2.730 -2.730 12.568 2.730 2.730 -12.568" Properties=species:S:1:pos:R:3 pbc="T T T"
Pm 2.730 0.000 2.012
Pm 0.000 0.000 5.202
Pm 2.730 0.000 10.556
Pm 0.000 2.730 2.012
Pm 0.000 0.000 19.933
Pm 0.000 2.730 10.556
Si 0.000 0.000 2.451
Si 0.000 0.000 22.685
Pb 0.000 0.000 8.381
Pb 0.000 0.000 12.568
Pb 0.000 0.000 16.755
```

Output
**Total magnetic moment**: 0.000 μB per formula unit
**E_form (uncorrected)**: -3.0 eV/f.u.
**E**: -4.86 eV per atom
**SG**: I4/mmm (139)
**Density of states at the Fermi level**: 5.29 states/eV/f.u.

(17)
VASP calculation (PBE) on a relaxed Ga2HgTe2 crystal.

```
10
Lattice="8.294 0.000 0.000 0.000 8.294 0.000 0.000 0.000 3.778" Properties=species:S:1:pos:R:3 pbc="T T T"
Ga 1.171 2.976 0.000
Ga 2.976 7.123 0.000
Ga 5.318 1.171 0.000
Ga 7.123 5.318 0.000
Hg 0.000 0.000 0.000
Hg 4.147 4.147 0.000
Te 1.304 5.451 1.889
Te 2.843 1.304 1.889
Te 5.451 6.990 1.889
Te 6.990 2.843 1.889
```

Output
**Total magnetic moment**: 0.000 μB per formula unit
**E_form (uncorrected)**: -0.2 eV/f.u.
**E**: -2.57 eV per atom
**SG**: P4/mbm (127)
**Density of states at the Fermi level**: 2.06 states/eV/f.u.

(18)
VASP calculation (PBE) on a relaxed Fe2IrRh5 crystal.

```
8
Lattice="-2.695 2.695 3.807 2.695 -2.695 3.807 2.695 2.695 -3.807" Properties=species:S:1:pos:R:3 pbc="T T T"
Fe 2.695 0.000 0.000
Fe 0.000 2.695 0.000
Ir 0.000 0.000 0.000
Rh 1.347 1.347 -1.904
Rh 1.347 -1.347 1.904
Rh -1.347 1.347 1.904
Rh 0.000 0.000 3.807
Rh 1.347 1.347 1.904
```

Output
**Total magnetic moment**: 7.081 μB per formula unit
**E**: -7.87 eV per atom
**SG**: I4/mmm (139)
**Density of states at the Fermi level**: 8.47 states/eV/f.u.
**Energy of formation**: -0.053 eV/atom

(19)
VASP calculation (PBE) on a relaxed BeCdPt2 crystal.

```
4
Lattice="1.420 0.820 8.735 -1.420 0.820 8.735 0.000 -1.640 8.735" Properties=species:S:1:pos:R:3 pbc="T T T"
Be 0.000 0.000 0.000
Cd 0.000 0.000 6.473
Pt 0.000 0.000 12.790
Pt 0.000 0.000 19.081
```

Output
**Total magnetic moment**: 0.000 μB per formula unit
**E**: -4.34 eV per atom
**SG**: R3m (160)
**Density of states at the Fermi level**: 1.20 states/eV/f.u.
**Energy of formation**: -0.160 eV/atom

(20)
VASP calculation (PBE) on a relaxed SbPdI3 crystal.

```
5
Lattice="5.445 0.000 0.000 0.000 5.445 0.000 0.000 0.000 5.445" Properties=species:S:1:pos:R:3 pbc="T T T"
Sb 0.000 0.000 0.000
Pd 2.722 2.722 2.722
I 0.000 2.722 2.722
I 2.722 0.000 2.722
I 2.722 2.722 0.000
```

Output
**Total magnetic moment**: 0.000 μB per formula unit
**E_form (uncorrected)**: 1.1 eV/f.u.
**E**: -2.58 eV per atom
**SG**: Pm-3m (221)
**Density of states at the Fermi level**: 3.34 states/eV/f.u.